[1]
DFT (PBE) results for DyErScAg after structural relaxation.

Unit cell a=3.4961 b=3.4961 c=8.4836 alpha=90.00 beta=90.00 gamma=90.00
Closest atoms and distances in Å follow each position.
Element x y z (fractional)
Dy (0.5000, 0.5000, 0.8004)  4 Ag 3.16, 4 Sc 3.39, 4 Dy 3.50
Er (0.5000, 0.5000, 0.3435)  4 Ag 3.12, 4 Sc 3.37
Sc (0.0000, 0.0000, 0.0731)  4 Er 3.37, 4 Dy 3.39, 4 Sc 3.50
Ag (0.0000, 0.0000, 0.5677)  4 Er 3.12, 4 Dy 3.16

## Properties
energy relative to the elements = -0.116 eV/atom
N(E_F) = 1.462 states/eV per atom
relative energy among the computed polymorphs = 0.00 eV/f.u.
total moment = 0.00 μB/f.u.

=====

[2]
DFT (PBE) results for Dy4ErAgSe8 after structural relaxation.

Unit cell a=8.3814 b=8.3814 c=8.3629 alpha=59.93 beta=59.93 gamma=60.00
Closest atoms and distances in Å follow each position.
Element x y z (fractional)
Dy (0.6245, 0.6245, 0.1264)  4 Se 2.74
Dy (0.0047, 0.4857, 0.5049)  6 Se 2.83-2.93
Dy (0.4857, 0.0047, 0.5049)  6 Se 2.83-2.93
Dy (0.0047, 0.0047, 0.5049)  6 Se 2.83-2.93
Er (0.0049, 0.0049, 0.9854)  6 Se 2.81-2.91
Ag (0.3754, 0.3754, 0.8737)  4 Se 2.70
Se (0.2423, 0.7702, 0.7452)  1 Ag 2.70, 1 Er 2.81, 2 Dy 2.83
Se (0.7702, 0.2423, 0.7452)  1 Ag 2.70, 1 Er 2.81, 2 Dy 2.83
Se (0.2423, 0.2423, 0.7452)  1 Ag 2.70, 1 Er 2.81, 2 Dy 2.83
Se (0.2435, 0.2435, 0.2694)  1 Ag 2.70, 3 Dy 2.83
Se (0.7599, 0.2236, 0.2565)  3 Dy 2.74-2.93, 1 Er 2.91
Se (0.2236, 0.7599, 0.2565)  3 Dy 2.74-2.93, 1 Er 2.91
Se (0.7599, 0.7599, 0.2565)  3 Dy 2.74-2.93, 1 Er 2.91
Se (0.7583, 0.7583, 0.7252)  4 Dy 2.74-2.93

## Properties
uncorrected formation energy = -1.649 eV per atom
N(E_F) = 0.000 states/eV per atom
total moment = 0.00 μB/f.u.

=====

[3]
DFT (PBE) results for DyEr2Ag3Se6 after structural relaxation.

Unit cell a=4.1509 b=8.0618 c=9.0820 alpha=100.53 beta=103.21 gamma=90.00
Closest atoms and distances in Å follow each position.
Element x y z (fractional)
Dy (0.5000, 0.0000, 0.0000)  6 Se 2.88-2.89
Er (0.8331, 0.6654, 0.6662)  6 Se 2.86-2.87
Er (0.1669, 0.3346, 0.3338)  6 Se 2.86-2.87
Ag (0.5000, 0.5000, 0.0000)  6 Se 2.91-2.93
Ag (0.8344, 0.1646, 0.6689)  6 Se 2.91-2.93
Ag (0.1656, 0.8354, 0.3311)  6 Se 2.91-2.93
Se (0.3341, 0.9111, 0.6682)  2 Er 2.87, 1 Dy 2.89, 3 Ag 2.91-2.93
Se (0.6686, 0.5801, 0.3372)  3 Er 2.86, 3 Ag 2.93
Se (0.6659, 0.0889, 0.3318)  2 Er 2.87, 1 Dy 2.89, 3 Ag 2.91-2.93
Se (0.0021, 0.2487, 0.0042)  1 Er 2.87, 2 Dy 2.88, 3 Ag 2.91
Se (0.9979, 0.7513, 0.9958)  1 Er 2.87, 2 Dy 2.88, 3 Ag 2.91
Se (0.3314, 0.4199, 0.6628)  3 Er 2.86, 3 Ag 2.93

## Properties
uncorrected formation energy = -1.161 eV per atom
N(E_F) = 0.000 states/eV per atom
total moment = 0.00 μB/f.u.

=====

[4]
DFT (PBE) results for DyErSiAg after structural relaxation.

Unit cell a=5.0241 b=5.0241 c=5.0241 alpha=60.00 beta=60.00 gamma=60.00
Closest atoms and distances in Å follow each position.
Element x y z (fractional)
Si (0.7500, 0.7500, 0.7500)  4 Er 3.08, 4 Dy 3.08
Dy (0.0000, 0.0000, 0.0000)  4 Si 3.08, 4 Ag 3.08
Ag (0.2500, 0.2500, 0.2500)  4 Dy 3.08, 4 Er 3.08
Er (0.5000, 0.5000, 0.5000)  4 Ag 3.08, 4 Si 3.08

## Properties
uncorrected formation energy = -0.441 eV per atom
N(E_F) = 0.832 states/eV per atom
total moment = 0.00 μB/f.u.

=====

[5]
DFT (PBE) results for SmDyErAg after structural relaxation.

Unit cell a=5.3956 b=5.3956 c=5.3956 alpha=60.00 beta=60.00 gamma=60.00
Closest atoms and distances in Å follow each position.
Element x y z (fractional)
Dy (0.0000, 0.0000, 0.0000)  4 Er 3.30, 4 Ag 3.30
Ag (0.2500, 0.2500, 0.2500)  4 Dy 3.30, 4 Sm 3.30
Sm (0.5000, 0.5000, 0.5000)  4 Ag 3.30, 4 Er 3.30
Er (0.7500, 0.7500, 0.7500)  4 Dy 3.30, 4 Sm 3.30

## Properties
energy relative to the elements = 0.057 eV/atom
N(E_F) = 0.920 states/eV per atom
relative energy among the computed polymorphs = 0.76 eV/f.u.
total moment = 0.00 μB/f.u.

=====

[6]
DFT (PBE) results for SmDyErAg after structural relaxation.

Unit cell a=3.5810 b=3.5810 c=8.8267 alpha=90.00 beta=90.00 gamma=90.00
Closest atoms and distances in Å follow each position.
Element x y z (fractional)
Sm (0.0000, 0.0000, 0.0732)  4 Sm 3.58, 4 Er 3.59, 4 Dy 3.61
Dy (0.5000, 0.5000, 0.7822)  4 Ag 3.16
Er (0.5000, 0.5000, 0.3621)  4 Ag 3.11
Ag (0.0000, 0.0000, 0.5672)  4 Er 3.11, 4 Dy 3.16

## Properties
energy relative to the elements = -0.134 eV/atom
N(E_F) = 1.276 states/eV per atom
relative energy among the computed polymorphs = 0.00 eV/f.u.
total moment = 0.00 μB/f.u.

=====

[7]
DFT (PBE) results for DyErAgSn after structural relaxation.

Unit cell a=5.2097 b=5.2097 c=5.2097 alpha=60.00 beta=60.00 gamma=60.00
Closest atoms and distances in Å follow each position.
Element x y z (fractional)
Dy (0.0000, 0.0000, 0.0000)  4 Sn 3.19, 4 Ag 3.19
Sn (0.2500, 0.2500, 0.2500)  4 Dy 3.19, 4 Er 3.19
Ag (0.7500, 0.7500, 0.7500)  4 Dy 3.19, 4 Er 3.19
Er (0.5000, 0.5000, 0.5000)  4 Ag 3.19, 4 Sn 3.19

## Properties
energy relative to the elements = -0.499 eV/atom
N(E_F) = 0.967 states/eV per atom
total moment = 0.14 μB/f.u.

=====

[8]
DFT (PBE) results for DyErTmAg after structural relaxation.

Unit cell a=5.3302 b=5.3302 c=5.3302 alpha=60.00 beta=60.00 gamma=60.00
Closest atoms and distances in Å follow each position.
Element x y z (fractional)
Tm (0.7500, 0.7500, 0.7500)  4 Er 3.26, 4 Dy 3.26
Dy (0.0000, 0.0000, 0.0000)  4 Tm 3.26, 4 Ag 3.26
Ag (0.2500, 0.2500, 0.2500)  4 Dy 3.26, 4 Er 3.26
Er (0.5000, 0.5000, 0.5000)  4 Ag 3.26, 4 Tm 3.26

## Properties
energy relative to the elements = 0.051 eV/atom
N(E_F) = 0.864 states/eV per atom
relative energy among the computed polymorphs = 0.75 eV/f.u.
total moment = 0.00 μB/f.u.

=====

- Which value of N(E_F) does entry 1 give?
  1.462 states/eV per atom